Record 1
A relaxed structure of CdInTe2N, computed with PBE.

- Crystal system: tetragonal
- Electronic total energy: -2.82 eV/atom
- Excess energy over the best structure of this formula in the dataset: 20.5 meV per atom
- Formation energy (no corrections): 835 meV per atom
- N(E_F): 1.00 states/eV per atom

Cell: 5.9264 5.9264 4.1132 Å, 90.00 90.00 90.00°
Space group P4/mmm (No. 123)
Asymmetric unit:
Cd1 0.0000 0.0000 0.0000 [1 per cell]
In1 0.5000 0.5000 0.5000 [1 per cell]
Te1 0.0000 0.5000 0.0000 [2 per cell]
N1 0.0000 0.0000 0.5000 [1 per cell]



Record 2
A relaxed structure of Cs3Tm3HfSe8, computed with PBE.

- Crystal system: trigonal
- Electronic total energy: -5.25 eV/atom
- Formation energy (no corrections): -1659 meV per atom
- N(E_F): 0.00 states/eV per atom

Cell: 8.1981 8.1981 25.6122 Å, 90.00 90.00 120.00°
Space group R-3m (No. 166, hexagonal axes)
Asymmetric unit:
Cs1 0.0000 0.5000 0.0000 [9 per cell]
Tm1 0.0000 0.5000 0.5000 [9 per cell]
Hf1 0.0000 0.0000 0.5000 [3 per cell]
Se1 0.0000 0.0000 0.2277 [6 per cell]
Se2 0.0140 0.5070 0.2261 [18 per cell]



Record 3
A relaxed structure of Zr2HOsPt, computed with PBE.

- Crystal system: tetragonal
- Electronic total energy: -8.09 eV/atom
- Excess energy over the best structure of this formula in the dataset: 0.0 meV per atom
- N(E_F): 0.61 states/eV per atom

Cell: 4.4289 4.4289 3.8104 Å, 90.00 90.00 90.00°
Space group P4/mmm (No. 123)
Asymmetric unit:
Zr1 0.0000 0.5000 0.0000 [2 per cell]
H1 0.0000 0.0000 0.0000 [1 per cell]
Os1 0.0000 0.0000 0.5000 [1 per cell]
Pt1 0.5000 0.5000 0.5000 [1 per cell]



Record 4
A relaxed structure of TaNb2Cu, computed with PBE.

- Crystal system: tetragonal
- Electronic total energy: -8.92 eV/atom
- Excess energy over the best structure of this formula in the dataset: 37.4 meV per atom
- N(E_F): 0.93 states/eV per atom

Cell: 4.4022 4.4022 3.4822 Å, 90.00 90.00 90.00°
Space group P4/mmm (No. 123)
Asymmetric unit:
Ta1 0.0000 0.0000 0.0000 [1 per cell]
Nb1 0.0000 0.5000 0.5000 [2 per cell]
Cu1 0.5000 0.5000 0.0000 [1 per cell]



Record 5
A relaxed structure of BaY2Tc, computed with PBE.

- Crystal system: orthorhombic
- Electronic total energy: -5.97 eV/atom
- Excess energy over the best structure of this formula in the dataset: 228.3 meV per atom
- N(E_F): 1.29 states/eV per atom

Cell: 3.7125 6.1549 11.0637 Å, 90.00 90.00 90.00°
Space group Immm (No. 71)
Asymmetric unit:
Ba1 0.0000 0.0000 0.0000 [2 per cell]
Y1 0.0000 0.5000 0.1864 [4 per cell]
Tc1 0.0000 0.0000 0.5000 [2 per cell]



Record 6
A relaxed structure of LiLaCdGa2, computed with PBE.

- Crystal system: tetragonal
- Electronic total energy: -2.76 eV/atom
- N(E_F): 0.64 states/eV per atom

Cell: 5.2141 5.2141 4.9484 Å, 90.00 90.00 90.00°
Space group P4/mmm (No. 123)
Asymmetric unit:
Li1 0.0000 0.0000 0.0000 [1 per cell]
La1 0.5000 0.5000 0.0000 [1 per cell]
Cd1 0.0000 0.0000 0.5000 [1 per cell]
Ga1 0.0000 0.5000 0.5000 [2 per cell]



Record 7
A relaxed structure of SnHOs3, computed with PBE.

- Crystal system: cubic
- Electronic total energy: -7.62 eV/atom
- Excess energy over the best structure of this formula in the dataset: 0.0 meV per atom
- N(E_F): 2.84 states/eV per atom

Cell: 4.0267 4.0267 4.0267 Å, 90.00 90.00 90.00°
Space group Pm-3m (No. 221)
Asymmetric unit:
Sn1 0.0000 0.0000 0.0000 [1 per cell]
H1 0.5000 0.5000 0.5000 [1 per cell]
Os1 0.0000 0.5000 0.5000 [3 per cell]



Record 8
A relaxed structure of Ac5La4Hg, computed with PBE.

- Crystal system: tetragonal
- Electronic total energy: -4.13 eV/atom
- N(E_F): 1.61 states/eV per atom

Cell: 3.9252 3.9252 25.6725 Å, 90.00 90.00 90.00°
Space group P4/mmm (No. 123)
Asymmetric unit:
Ac1 0.0000 0.0000 0.0000 [1 per cell]
Ac2 0.0000 0.0000 0.2090 [2 per cell]
Ac3 0.0000 0.0000 0.4182 [2 per cell]
La1 0.5000 0.5000 0.1043 [2 per cell]
La2 0.5000 0.5000 0.3121 [2 per cell]
Hg1 0.5000 0.5000 0.5000 [1 per cell]



Record 9
A relaxed structure of Zr2SnAs, computed with PBE.

- Crystal system: cubic
- Electronic total energy: -6.87 eV/atom
- Excess energy over the best structure of this formula in the dataset: 328.4 meV per atom
- N(E_F): 1.05 states/eV per atom

Cell: 6.9622 6.9622 6.9622 Å, 90.00 90.00 90.00°
Space group Fm-3m (No. 225)
Asymmetric unit:
Zr1 0.2500 0.2500 0.2500 [8 per cell]
Sn1 0.0000 0.0000 0.0000 [4 per cell]
As1 0.0000 0.0000 0.5000 [4 per cell]



Record 10
A relaxed structure of Na2AcCd2Pb2, computed with PBE.

- Crystal system: trigonal
- Electronic total energy: -2.55 eV/atom
- N(E_F): 0.25 states/eV per atom

Cell: 5.0629 5.0629 27.1724 Å, 90.00 90.00 120.00°
Space group R-3m (No. 166, hexagonal axes)
Asymmetric unit:
Na1 0.0000 0.0000 0.1439 [6 per cell]
Ac1 0.0000 0.0000 0.0000 [3 per cell]
Cd1 0.0000 0.0000 0.4379 [6 per cell]
Pb1 0.0000 0.0000 0.2651 [6 per cell]



Record 11
A relaxed structure of Sr2HgHOs, computed with PBE.

- Crystal system: tetragonal
- Electronic total energy: -3.29 eV/atom
- N(E_F): 0.47 states/eV per atom

Cell: 4.9162 4.9162 4.4273 Å, 90.00 90.00 90.00°
Space group P4/mmm (No. 123)
Asymmetric unit:
Sr1 0.0000 0.5000 0.0000 [2 per cell]
Hg1 0.0000 0.0000 0.5000 [1 per cell]
H1 0.0000 0.0000 0.0000 [1 per cell]
Os1 0.5000 0.5000 0.5000 [1 per cell]



Record 12
A relaxed structure of Sr2TmThO6, computed with PBE.

- Crystal system: monoclinic
- Electronic total energy: -7.60 eV/atom
- Formation energy (no corrections): -3102 meV per atom
- N(E_F): 0.75 states/eV per atom

Cell: 6.0469 6.2018 10.5225 Å, 90.00 124.72 90.00°
Space group P2_1/c (No. 14)
Asymmetric unit:
Sr1 0.2347 0.0460 0.2501 [4 per cell]
Tm1 0.0000 0.0000 0.5000 [2 per cell]
Th1 0.5000 0.0000 0.0000 [2 per cell]
O1 0.1404 0.2078 0.9407 [4 per cell]
O2 0.2357 0.7026 0.9419 [4 per cell]
O3 0.3549 0.0461 0.7465 [4 per cell]



Record 13
A relaxed structure of Ce9ThAl2, computed with PBE.

- Crystal system: tetragonal
- Electronic total energy: -5.78 eV/atom
- N(E_F): 2.85 states/eV per atom

Cell: 4.7051 4.7051 14.2671 Å, 90.00 90.00 90.00°
Space group P4/mmm (No. 123)
Asymmetric unit:
Ce1 0.0000 0.0000 0.0000 [1 per cell]
Ce2 0.0000 0.0000 0.3373 [2 per cell]
Ce3 0.0000 0.5000 0.1753 [4 per cell]
Ce4 0.0000 0.5000 0.5000 [2 per cell]
Th1 0.5000 0.5000 0.0000 [1 per cell]
Al1 0.5000 0.5000 0.3365 [2 per cell]



Record 14
A relaxed structure of CaGaBr3, computed with PBE.

- Crystal system: cubic
- Electronic total energy: -3.30 eV/atom
- Formation energy (no corrections): -1290 meV per atom
- N(E_F): 0.00 states/eV per atom

Cell: 5.6623 5.6623 5.6623 Å, 90.00 90.00 90.00°
Space group Pm-3m (No. 221)
Asymmetric unit:
Ca1 0.0000 0.0000 0.0000 [1 per cell]
Ga1 0.5000 0.5000 0.5000 [1 per cell]
Br1 0.0000 0.0000 0.5000 [3 per cell]



Record 15
A relaxed structure of HoCd9Pd3, computed with PBE.

- Crystal system: monoclinic
- Electronic total energy: -2.46 eV/atom
- N(E_F): 0.60 states/eV per atom

Cell: 5.6636 13.7262 7.4272 Å, 90.00 111.52 90.00°
Space group C2/m (No. 12)
Asymmetric unit:
Ho1 0.0000 0.0000 0.0000 [2 per cell]
Cd1 0.0000 0.5000 0.5000 [2 per cell]
Cd2 0.1090 0.3915 0.2098 [8 per cell]
Cd3 0.1534 0.1737 0.3330 [8 per cell]
Pd1 0.0000 0.0000 0.5000 [2 per cell]
Pd2 0.2500 0.2500 0.0000 [4 per cell]



Record 16
A relaxed structure of NaFeIr, computed with PBE.

- Crystal system: orthorhombic
- Electronic total energy: -5.80 eV/atom
- Excess energy over the best structure of this formula in the dataset: 150.1 meV per atom
- N(E_F): 0.84 states/eV per atom

Cell: 7.2507 4.0548 6.5711 Å, 90.00 90.00 90.00°
Space group Pnma (No. 62)
Asymmetric unit:
Na1 0.0075 0.2500 0.1472 [4 per cell]
Fe1 0.1615 0.7500 0.4039 [4 per cell]
Ir1 0.1591 0.2500 0.5925 [4 per cell]



Record 17
A relaxed structure of TiNi4P2, computed with PBE.

- Crystal system: tetragonal
- Electronic total energy: -6.66 eV/atom
- N(E_F): 0.99 states/eV per atom

Cell: 6.8396 6.8396 3.5413 Å, 90.00 90.00 90.00°
Space group P4_2/mnm (No. 136)
Asymmetric unit:
Ti1 0.0000 0.0000 0.0000 [2 per cell]
Ni1 0.0814 0.3304 0.5000 [8 per cell]
P1 0.2215 0.7785 0.5000 [4 per cell]



Record 18
A relaxed structure of Cs2RbHSe, computed with PBE.

- Crystal system: tetragonal
- Electronic total energy: -2.54 eV/atom
- N(E_F): 0.00 states/eV per atom

Cell: 5.7691 5.7691 5.5376 Å, 90.00 90.00 90.00°
Space group P4/mmm (No. 123)
Asymmetric unit:
Cs1 0.0000 0.5000 0.0000 [2 per cell]
Rb1 0.0000 0.0000 0.5000 [1 per cell]
H1 0.0000 0.0000 0.0000 [1 per cell]
Se1 0.5000 0.5000 0.5000 [1 per cell]



Record 19
A relaxed structure of Pr4Mg3Pd, computed with PBE.

- Crystal system: tetragonal
- Electronic total energy: -3.90 eV/atom
- N(E_F): 0.74 states/eV per atom

Cell: 3.8450 3.8450 15.3453 Å, 90.00 90.00 90.00°
Space group P4/mmm (No. 123)
Asymmetric unit:
Pr1 0.0000 0.0000 0.1099 [2 per cell]
Pr2 0.0000 0.0000 0.3702 [2 per cell]
Mg1 0.5000 0.5000 0.2428 [2 per cell]
Mg2 0.5000 0.5000 0.5000 [1 per cell]
Pd1 0.5000 0.5000 0.0000 [1 per cell]



Record 20
A relaxed structure of Tb5PmNd2Sc, computed with PBE.

- Crystal system: orthorhombic
- Electronic total energy: -4.71 eV/atom
- N(E_F): 1.39 states/eV per atom

Cell: 5.6163 19.8935 10.4833 Å, 90.00 90.00 90.00°
Space group Cmc2_1 (No. 36)
Asymmetric unit:
Tb1 0.0000 0.0173 0.0000 [4 per cell]
Tb2 0.0000 0.1259 0.2781 [4 per cell]
Tb3 0.0000 0.2033 0.9626 [4 per cell]
Tb4 0.0000 0.2235 0.5815 [4 per cell]
Tb5 0.0000 0.4830 0.2774 [4 per cell]
Pm1 0.0000 0.0887 0.7180 [4 per cell]
Nd1 0.0000 0.3851 0.9935 [4 per cell]
Nd2 0.0000 0.3869 0.5738 [4 per cell]
Sc1 0.0000 0.3037 0.2736 [4 per cell]



Record 21
A relaxed structure of RbNCl2, computed with PBE.

- Crystal system: tetragonal
- Electronic total energy: -3.13 eV/atom
- Excess energy over the best structure of this formula in the dataset: 299.8 meV per atom
- Formation energy (no corrections): 117 meV per atom
- N(E_F): 0.00 states/eV per atom

Cell: 6.6118 6.6118 9.5077 Å, 90.00 90.00 90.00°
Space group I4_1/amd (No. 141, origin choice 2)
Asymmetric unit:
Rb1 0.0000 0.2500 0.3750 [4 per cell]
N1 0.0000 0.2500 0.8750 [4 per cell]
Cl1 0.0000 0.0000 0.0000 [8 per cell]



Record 22
A relaxed structure of Sr2TePt, computed with PBE.

- Crystal system: monoclinic
- Electronic total energy: -4.25 eV/atom
- Excess energy over the best structure of this formula in the dataset: 39.9 meV per atom
- Formation energy (no corrections): -1110 meV per atom

Cell: 12.0267 4.2841 4.8167 Å, 90.00 90.07 90.00°
Space group Cm (No. 8)
Asymmetric unit:
Sr1 0.0000 0.0000 0.0000 [2 per cell]
Sr2 0.2262 0.5000 0.5007 [2 per cell]
Te1 0.2789 0.0000 0.0011 [2 per cell]
Pt1 0.4710 0.0000 0.4994 [2 per cell]



Record 23
A relaxed structure of Pu3MgAs4, computed with PBE.

- Crystal system: cubic
- Electronic total energy: -8.73 eV/atom
- N(E_F): 3.26 states/eV per atom

Cell: 5.7908 5.7908 5.7908 Å, 90.00 90.00 90.00°
Space group Pm-3m (No. 221)
Asymmetric unit:
Pu1 0.0000 0.0000 0.5000 [3 per cell]
Mg1 0.5000 0.5000 0.5000 [1 per cell]
As1 0.0000 0.0000 0.0000 [1 per cell]
As2 0.0000 0.5000 0.5000 [3 per cell]



Record 24
A relaxed structure of ReRuN2F, computed with PBE.

- Crystal system: tetragonal
- Electronic total energy: -6.77 eV/atom
- Excess energy over the best structure of this formula in the dataset: 601.1 meV per atom
- Formation energy (no corrections): 1275 meV per atom
- N(E_F): 0.76 states/eV per atom

Cell: 3.9225 3.9225 3.9839 Å, 90.00 90.00 90.00°
Space group P4/mmm (No. 123)
Asymmetric unit:
Re1 0.0000 0.0000 0.0000 [1 per cell]
Ru1 0.5000 0.5000 0.5000 [1 per cell]
N1 0.0000 0.5000 0.5000 [2 per cell]
F1 0.5000 0.5000 0.0000 [1 per cell]